{"formula": "CoPdF5", "functional": "GGA+U", "state": "optimized geometry", "energy_ev_per_atom": -4.36, "dos_at_fermi_per_ev_atom": 0.208, "space_group": "C2/m (12)", "magmom_total_mub_per_fu": 3.1, "lattice": [[4.3745, -3.2765, 0.0000], [4.3745, 3.2765, 0.0000], [-1.5927, 0.0000, 3.3861]], "species": ["Co", "Pd", "F", "F", "F", "F", "F"], "fractional_positions": [[0.0000, 0.0000, 0.0000], [0.5000, 0.5000, 0.5000], [0.0000, 0.0000, 0.5000], [0.2499, 0.2499, 0.2209], [0.3146, 0.6854, 0.0000], [0.6854, 0.3146, 0.0000], [0.7501, 0.7501, 0.7791]]}

---

{"formula": "V4S5O", "functional": "GGA+U", "state": "optimized geometry", "energy_ev_per_atom": -6.19, "dos_at_fermi_per_ev_atom": 0.081, "space_group": "C2/m (12)", "magmom_total_mub_per_fu": 8.0, "lattice": [[7.5913, -1.6936, 0.0000], [7.5913, 1.6936, 0.0000], [-1.6164, 0.0000, 6.7450]], "species": ["V", "V", "V", "V", "S", "S", "S", "S", "S", "O"], "fractional_positions": [[0.9995, 0.9995, 0.2383], [0.0005, 0.0005, 0.7617], [0.3396, 0.3396, 0.9096], [0.6604, 0.6604, 0.0904], [0.1587, 0.1587, 0.3315], [0.1667, 0.1667, 0.8427], [0.5000, 0.5000, 0.5000], [0.8333, 0.8333, 0.1573], [0.8413, 0.8413, 0.6685], [0.5000, 0.5000, 0.0000]]}